No. 1
Density functional theory data (GGA-PBE) for an optimized crystal structure of Mn2In3Br8.

Lattice parameters (Å, degrees): 8.048 8.048 9.388 69.25 69.25 58.39
Fractional positions:
Mn 0.374 0.374 0.805
Mn 0.626 0.626 0.195
In 0.000 0.000 0.000
In 0.155 0.155 0.393
In 0.845 0.845 0.607
Br 0.331 0.331 0.085
Br 0.669 0.669 0.915
Br 0.217 0.741 0.715
Br 0.741 0.217 0.715
Br 0.242 0.242 0.696
Br 0.259 0.783 0.285
Br 0.783 0.259 0.285
Br 0.758 0.758 0.304

ΔE_f (raw) (kJ/mol of atoms): -64.3

=====

No. 2
Density functional theory data (GGA-PBE) for an optimized crystal structure of Sm4SiSnC.

Lattice parameters (Å, degrees): 6.883 6.887 8.676 90.00 113.37 90.00
Fractional positions:
Sm 0.920 0.250 0.841
Sm 0.412 0.750 0.823
Sm 0.080 0.750 0.159
Sm 0.588 0.250 0.177
Sm 0.500 0.500 0.500
Sm 0.000 0.000 0.500
Sm 0.500 0.000 0.500
Sm 0.000 0.500 0.500
Si 0.116 0.250 0.233
Si 0.884 0.750 0.767
Sn 0.609 0.750 0.219
Sn 0.391 0.250 0.781
C 0.248 0.750 0.496
C 0.752 0.250 0.504

ΔE_f (raw) (kJ/mol of atoms): -46.3

=====

No. 3
Density functional theory data (GGA-PBE) for an optimized crystal structure of Pm2GaNi6H.

Lattice parameters (Å, degrees): 5.333 6.533 6.540 48.09 65.94 90.00
Fractional positions:
Pm 0.775 0.224 0.449
Pm 0.225 0.776 0.551
Ga 0.500 0.500 0.000
Ni 0.225 0.285 0.549
Ni 0.716 0.775 0.059
Ni 0.225 0.775 0.059
Ni 0.775 0.225 0.941
Ni 0.284 0.225 0.941
Ni 0.775 0.715 0.451
H 0.000 0.000 0.000

=====

No. 4
Density functional theory data (GGA-PBE) for an optimized crystal structure of HfIr3Au.

Lattice parameters (Å, degrees): 4.802 4.802 4.802 90.00 90.00 90.00
Fractional positions:
Hf 0.000 0.000 0.000
Ir 0.000 0.500 0.000
Ir 0.000 0.000 0.500
Ir 0.500 0.000 0.000
Au 0.500 0.500 0.500

Energy relative to the lowest polymorph listed for this composition (meV/atom): 0.0
E_form (eV/atom): 1.56

=====

Total DFT energy (no corrections): -48.6; -81.8; -53.9; -32.0 (eV per cell)